[1]
GdZn2Ag | GGA-PBE | optimized geometry

Output
energy relative to the elements: -18.0 kJ per mole of atoms

abc: 3.3597 3.3597 6.9572
angles: 90.00 90.00 90.00
Last column: magnetic moment on the atom in μB.
Fractional coordinates of all 4 atoms:
Ag (0.5000, 0.5000, 0.0000)  0.00
Zn (0.0000, 0.0000, 0.7901)  0.00
Zn (0.0000, 0.0000, 0.2099)  0.00
Gd (0.5000, 0.5000, 0.5000)  7.21


[2]
GdZn2Ag | GGA-PBE | optimized geometry

Output
energy relative to the elements: -14.0 kJ per mole of atoms

abc: 4.4279 4.3243 4.3243
angles: 90.00 90.00 90.00
Last column: magnetic moment on the atom in μB.
Fractional coordinates of all 4 atoms:
Ag (0.5000, 0.0000, 0.0000)  0.02
Zn (0.0000, 0.5000, 0.0000)  0.02
Zn (0.0000, 0.0000, 0.5000)  0.02
Gd (0.5000, 0.5000, 0.5000)  7.19